w) {"formula": "PmPrBi2", "functional": "PBE", "state": "relaxed", "m_tot_mub_per_cell": 0.00, "sg": "No. 194", "lattice_angstrom": [[4.6025, 0.0000, 0.0000], [-2.3012, 3.9859, 0.0000], [0.0000, 0.0000, 15.1855]], "species": ["Pm", "Pm", "Pr", "Pr", "Bi", "Bi", "Bi", "Bi"], "frac_coords": [[0.3333, 0.6667, 0.2500], [0.6667, 0.3333, 0.7500], [0.0000, 0.0000, 0.0000], [0.0000, 0.0000, 0.5000], [0.3333, 0.6667, 0.6246], [0.3333, 0.6667, 0.8754], [0.6667, 0.3333, 0.1246], [0.6667, 0.3333, 0.3754]]}

x) {"formula": "PmPrBi2", "functional": "PBE", "state": "relaxed", "m_tot_mub_per_cell": 0.14, "sg": "No. 225", "lattice_angstrom": [[0.0000, 3.9871, 3.9871], [3.9871, 0.0000, 3.9871], [3.9871, 3.9871, 0.0000]], "species": ["Pm", "Pr", "Bi", "Bi"], "frac_coords": [[0.0000, 0.0000, 0.0000], [0.5000, 0.5000, 0.5000], [0.2500, 0.2500, 0.2500], [0.7500, 0.7500, 0.7500]]}

Least stable structure: x)

w) {"formula": "Pm3PrBi2", "functional": "PBE", "state": "relaxed", "m_tot_mub_per_cell": 0.00, "sg": "No. 115", "lattice_angstrom": [[4.6529, 0.0000, 0.0000], [0.0000, 4.6529, 0.0000], [0.0000, 0.0000, 8.9985]], "species": ["Pm", "Pm", "Pm", "Pr", "Bi", "Bi"], "frac_coords": [[0.0000, 0.0000, 0.0000], [0.0000, 0.5000, 0.6465], [0.5000, 0.0000, 0.3535], [0.5000, 0.5000, 0.0000], [0.0000, 0.5000, 0.2829], [0.5000, 0.0000, 0.7171]]}

x) {"formula": "Pm3PrBi2", "functional": "PBE", "state": "relaxed", "m_tot_mub_per_cell": 0.06, "sg": "No. 12", "lattice_angstrom": [[9.5883, -2.2508, 0.0000], [9.5883, 2.2508, 0.0000], [-4.3390, 0.0000, 9.2129]], "species": ["Pm", "Pm", "Pm", "Pm", "Pm", "Pm", "Pr", "Pr", "Bi", "Bi", "Bi", "Bi"], "frac_coords": [[0.0568, 0.0568, 0.1723], [0.3117, 0.3117, 0.6096], [0.3561, 0.3561, 0.0260], [0.6439, 0.6439, 0.9740], [0.6883, 0.6883, 0.3904], [0.9432, 0.9432, 0.8277], [0.1115, 0.1115, 0.6191], [0.8885, 0.8885, 0.3809], [0.2474, 0.2474, 0.2162], [0.4904, 0.4904, 0.6561], [0.5096, 0.5096, 0.3439], [0.7526, 0.7526, 0.7838]]}

Least stable structure: x)

w) {"formula": "PmPuBiTe", "functional": "PBE", "state": "relaxed", "m_tot_mub_per_cell": 5.71, "sg": "No. 160", "lattice_angstrom": [[2.2597, 1.3046, 7.3461], [-2.2597, 1.3046, 7.3461], [0.0000, -2.6093, 7.3461]], "species": ["Pm", "Pu", "Bi", "Te"], "frac_coords": [[0.0000, 0.0000, 0.0000], [0.5013, 0.5013, 0.5013], [0.7510, 0.7510, 0.7510], [0.2489, 0.2489, 0.2489]]}

x) {"formula": "PmPuBiTe", "functional": "PBE", "state": "relaxed", "m_tot_mub_per_cell": 5.96, "sg": "No. 216", "lattice_angstrom": [[0.0000, 3.8864, 3.8864], [3.8864, 0.0000, 3.8864], [3.8864, 3.8864, 0.0000]], "species": ["Pm", "Pu", "Bi", "Te"], "frac_coords": [[0.0000, 0.0000, 0.0000], [0.5000, 0.5000, 0.5000], [0.2500, 0.2500, 0.2500], [0.7500, 0.7500, 0.7500]]}

Least stable structure: x)

w) {"formula": "RbPmBi2", "functional": "PBE", "state": "relaxed", "m_tot_mub_per_cell": 0.00, "sg": "No. 123", "lattice_angstrom": [[4.3128, 0.0000, 0.0000], [0.0000, 4.3128, 0.0000], [0.0000, 0.0000, 8.1211]], "species": ["Rb", "Pm", "Bi", "Bi"], "frac_coords": [[0.0000, 0.0000, 0.0000], [0.0000, 0.0000, 0.5000], [0.5000, 0.5000, 0.3090], [0.5000, 0.5000, 0.6910]]}

x) {"formula": "RbPmBi2", "functional": "PBE", "state": "relaxed", "m_tot_mub_per_cell": 0.00, "sg": "No. 225", "lattice_angstrom": [[0.0000, 4.1262, 4.1262], [4.1262, 0.0000, 4.1262], [4.1262, 4.1262, 0.0000]], "species": ["Rb", "Pm", "Bi", "Bi"], "frac_coords": [[0.0000, 0.0000, 0.0000], [0.5000, 0.5000, 0.5000], [0.2500, 0.2500, 0.2500], [0.7500, 0.7500, 0.7500]]}

y) {"formula": "RbPmBi2", "functional": "PBE", "state": "relaxed", "m_tot_mub_per_cell": 0.00, "sg": "No. 166", "lattice_angstrom": [[2.3076, 1.3323, 9.0610], [-2.3076, 1.3323, 9.0610], [0.0000, -2.6646, 9.0610]], "species": ["Rb", "Pm", "Bi", "Bi"], "frac_coords": [[0.0000, 0.0000, 0.0000], [0.5000, 0.5000, 0.5000], [0.2332, 0.2332, 0.2332], [0.7668, 0.7668, 0.7668]]}

z) {"formula": "RbPmBi2", "functional": "PBE", "state": "relaxed", "m_tot_mub_per_cell": 0.31, "sg": "No. 123", "lattice_angstrom": [[6.2369, 0.0000, 0.0000], [0.0000, 6.2369, 0.0000], [0.0000, 0.0000, 3.5421]], "species": ["Rb", "Pm", "Bi", "Bi"], "frac_coords": [[0.0000, 0.0000, 0.0000], [0.5000, 0.5000, 0.0000], [0.0000, 0.5000, 0.5000], [0.5000, 0.0000, 0.5000]]}

Least stable structure: x)

w) {"formula": "Pm2BiRh", "functional": "PBE", "state": "relaxed", "m_tot_mub_per_cell": 0.00, "sg": "No. 13", "lattice_angstrom": [[6.4242, 0.0000, 0.0000], [0.0000, 6.2244, 0.0000], [-3.0640, 0.0000, 11.2206]], "species": ["Pm", "Pm", "Pm", "Pm", "Pm", "Pm", "Pm", "Pm", "Bi", "Bi", "Bi", "Bi", "Rh", "Rh", "Rh", "Rh"], "frac_coords": [[0.1740, 0.1653, 0.1196], [0.1740, 0.8347, 0.6196], [0.2774, 0.3338, 0.8336], [0.2774, 0.6662, 0.3336], [0.7226, 0.3338, 0.6664], [0.7226, 0.6662, 0.1664], [0.8260, 0.1653, 0.3804], [0.8260, 0.8347, 0.8804], [0.3344, 0.1772, 0.4108], [0.3344, 0.8228, 0.9108], [0.6656, 0.1772, 0.0892], [0.6656, 0.8228, 0.5892], [0.1325, 0.3363, 0.5854], [0.1325, 0.6637, 0.0854], [0.8675, 0.3363, 0.9146], [0.8675, 0.6637, 0.4146]]}

x) {"formula": "Pm2BiRh", "functional": "PBE", "state": "relaxed", "m_tot_mub_per_cell": 0.00, "sg": "No. 225", "lattice_angstrom": [[0.0000, 3.7466, 3.7466], [3.7466, 0.0000, 3.7466], [3.7466, 3.7466, 0.0000]], "species": ["Pm", "Pm", "Bi", "Rh"], "frac_coords": [[0.2500, 0.2500, 0.2500], [0.7500, 0.7500, 0.7500], [0.0000, 0.0000, 0.0000], [0.5000, 0.5000, 0.5000]]}

Least stable structure: x)

w) {"formula": "Pm2BiRh", "functional": "PBE", "state": "relaxed", "m_tot_mub_per_cell": 0.00, "sg": "No. 123", "lattice_angstrom": [[3.6276, 0.0000, 0.0000], [0.0000, 3.6276, 0.0000], [0.0000, 0.0000, 7.9800]], "species": ["Pm", "Pm", "Bi", "Rh"], "frac_coords": [[0.0000, 0.0000, 0.2114], [0.0000, 0.0000, 0.7886], [0.5000, 0.5000, 0.5000], [0.5000, 0.5000, 0.0000]]}

x) {"formula": "Pm2BiRh", "functional": "PBE", "state": "relaxed", "m_tot_mub_per_cell": 0.00, "sg": "No. 166", "lattice_angstrom": [[2.1510, 1.2419, 7.2459], [-2.1510, 1.2419, 7.2459], [0.0000, -2.4838, 7.2459]], "species": ["Pm", "Pm", "Bi", "Rh"], "frac_coords": [[0.2377, 0.2377, 0.2377], [0.7623, 0.7623, 0.7623], [0.0000, 0.0000, 0.0000], [0.5000, 0.5000, 0.5000]]}

Least stable structure: x)

w) {"formula": "PmBi2Rh2", "functional": "PBE", "state": "relaxed", "m_tot_mub_per_cell": 0.00, "sg": "No. 11", "lattice_angstrom": [[4.8781, 0.0000, 0.0000], [0.0000, 4.6516, 0.0000], [-0.4273, 0.0000, 10.4627]], "species": ["Pm", "Pm", "Bi", "Bi", "Bi", "Bi", "Rh", "Rh", "Rh", "Rh"], "frac_coords": [[0.2220, 0.2500, 0.2334], [0.7780, 0.7500, 0.7666], [0.2506, 0.7500, 0.4929], [0.3012, 0.2500, 0.8792], [0.6988, 0.7500, 0.1208], [0.7494, 0.2500, 0.5071], [0.1853, 0.7500, 0.0024], [0.2589, 0.2500, 0.6285], [0.7411, 0.7500, 0.3715], [0.8147, 0.2500, 0.9976]]}

x) {"formula": "PmBi2Rh2", "functional": "PBE", "state": "relaxed", "m_tot_mub_per_cell": 0.00, "sg": "No. 11", "lattice_angstrom": [[4.7994, 0.0000, 0.0000], [0.0000, 4.7556, 0.0000], [-0.8829, 0.0000, 10.6480]], "species": ["Pm", "Pm", "Bi", "Bi", "Bi", "Bi", "Rh", "Rh", "Rh", "Rh"], "frac_coords": [[0.1764, 0.2500, 0.1686], [0.8236, 0.7500, 0.8314], [0.2499, 0.2500, 0.4938], [0.3083, 0.2500, 0.8111], [0.6917, 0.7500, 0.1889], [0.7501, 0.7500, 0.5062], [0.2239, 0.7500, 0.3462], [0.3584, 0.7500, 0.9588], [0.6416, 0.2500, 0.0412], [0.7761, 0.2500, 0.6538]]}

Least stable structure: w)

w) {"formula": "Pm2BiRu", "functional": "PBE", "state": "relaxed", "m_tot_mub_per_cell": 0.00, "sg": "No. 166", "lattice_angstrom": [[1.9735, 1.1394, 8.5490], [-1.9735, 1.1394, 8.5490], [0.0000, -2.2788, 8.5490]], "species": ["Pm", "Pm", "Bi", "Ru"], "frac_coords": [[0.2319, 0.2319, 0.2319], [0.7681, 0.7681, 0.7681], [0.0000, 0.0000, 0.0000], [0.5000, 0.5000, 0.5000]]}

x) {"formula": "Pm2BiRu", "functional": "PBE", "state": "relaxed", "m_tot_mub_per_cell": 0.00, "sg": "No. 13", "lattice_angstrom": [[6.4651, 0.0000, 0.0000], [0.0000, 6.4274, 0.0000], [-2.6682, 0.0000, 10.8922]], "species": ["Pm", "Pm", "Pm", "Pm", "Pm", "Pm", "Pm", "Pm", "Bi", "Bi", "Bi", "Bi", "Ru", "Ru", "Ru", "Ru"], "frac_coords": [[0.1708, 0.1330, 0.1207], [0.1708, 0.8670, 0.6207], [0.2693, 0.3431, 0.8355], [0.2693, 0.6569, 0.3355], [0.7307, 0.3431, 0.6645], [0.7307, 0.6569, 0.1645], [0.8292, 0.1330, 0.3793], [0.8292, 0.8670, 0.8793], [0.3414, 0.1746, 0.4138], [0.3414, 0.8254, 0.9138], [0.6586, 0.1746, 0.0862], [0.6586, 0.8254, 0.5862], [0.1080, 0.3577, 0.5637], [0.1080, 0.6423, 0.0637], [0.8920, 0.3577, 0.9363], [0.8920, 0.6423, 0.4363]]}

Least stable structure: w)

w) {"formula": "PmBi2Ru", "functional": "PBE", "state": "relaxed", "m_tot_mub_per_cell": 0.00, "sg": "No. 166", "lattice_angstrom": [[2.2663, 1.3085, 5.7784], [-2.2663, 1.3085, 5.7784], [0.0000, -2.6169, 5.7784]], "species": ["Pm", "Bi", "Bi", "Ru"], "frac_coords": [[0.0000, 0.0000, 0.0000], [0.2295, 0.2295, 0.2295], [0.7705, 0.7705, 0.7705], [0.5000, 0.5000, 0.5000]]}

x) {"formula": "PmBi2Ru", "functional": "PBE", "state": "relaxed", "m_tot_mub_per_cell": 0.00, "sg": "No. 123", "lattice_angstrom": [[4.7868, 0.0000, 0.0000], [0.0000, 4.7868, 0.0000], [0.0000, 0.0000, 4.3160]], "species": ["Pm", "Bi", "Bi", "Ru"], "frac_coords": [[0.0000, 0.0000, 0.0000], [0.0000, 0.5000, 0.5000], [0.5000, 0.0000, 0.5000], [0.5000, 0.5000, 0.0000]]}

Least stable structure: x)

w) {"formula": "Pm4Bi2Ru", "functional": "PBE", "state": "relaxed", "m_tot_mub_per_cell": 0.00, "sg": "No. 139", "lattice_angstrom": [[-2.6006, 2.6006, 8.4794], [2.6006, -2.6006, 8.4794], [2.6006, 2.6006, -8.4794]], "species": ["Pm", "Pm", "Pm", "Pm", "Bi", "Bi", "Ru"], "frac_coords": [[0.0000, 0.5000, 0.5000], [0.1707, 0.1707, 0.0000], [0.5000, 0.0000, 0.5000], [0.8293, 0.8293, 0.0000], [0.3605, 0.3605, 0.0000], [0.6395, 0.6395, 0.0000], [0.0000, 0.0000, 0.0000]]}

x) {"formula": "Pm4Bi2Ru", "functional": "PBE", "state": "relaxed", "m_tot_mub_per_cell": 0.00, "sg": "No. 11", "lattice_angstrom": [[6.8323, 0.0000, 0.0000], [0.0000, 6.8468, 0.0000], [-3.3696, 0.0000, 9.2505]], "species": ["Pm", "Pm", "Pm", "Pm", "Pm", "Pm", "Pm", "Pm", "Bi", "Bi", "Bi", "Bi", "Ru", "Ru"], "frac_coords": [[0.1996, 0.2500, 0.0741], [0.2697, 0.0026, 0.7401], [0.2697, 0.4974, 0.7401], [0.2943, 0.7500, 0.3832], [0.7057, 0.2500, 0.6168], [0.7303, 0.5026, 0.2599], [0.7303, 0.9974, 0.2599], [0.8004, 0.7500, 0.9259], [0.1522, 0.2500, 0.4364], [0.3197, 0.7500, 0.0457], [0.6803, 0.2500, 0.9543], [0.8478, 0.7500, 0.5636], [0.4819, 0.2500, 0.3303], [0.5181, 0.7500, 0.6697]]}

Least stable structure: w)

w) {"formula": "Pm5Bi4S", "functional": "PBE", "state": "relaxed", "m_tot_mub_per_cell": 0.00, "sg": "No. 79", "lattice_angstrom": [[-4.9977, 4.9977, 3.1871], [4.9977, -4.9977, 3.1871], [4.9977, 4.9977, -3.1871]], "species": ["Pm", "Pm", "Pm", "Pm", "Pm", "Bi", "Bi", "Bi", "Bi", "S"], "frac_coords": [[0.0000, 0.0000, 0.0000], [0.2220, 0.6033, 0.8158], [0.4062, 0.2220, 0.6187], [0.6033, 0.7876, 0.3813], [0.7876, 0.4062, 0.1842], [0.0978, 0.3079, 0.3963], [0.3079, 0.9117, 0.2102], [0.7015, 0.0978, 0.7898], [0.9117, 0.7015, 0.6037], [0.5073, 0.5073, 0.0000]]}

x) {"formula": "Pm5Bi4S", "functional": "PBE", "state": "relaxed", "m_tot_mub_per_cell": 0.00, "sg": "No. 139", "lattice_angstrom": [[-2.2490, 2.2490, 15.8005], [2.2490, -2.2490, 15.8005], [2.2490, 2.2490, -15.8005]], "species": ["Pm", "Pm", "Pm", "Pm", "Pm", "Bi", "Bi", "Bi", "Bi", "S"], "frac_coords": [[0.0000, 0.0000, 0.0000], [0.2011, 0.2011, 0.0000], [0.4091, 0.4091, 0.0000], [0.5909, 0.5909, 0.0000], [0.7989, 0.7989, 0.0000], [0.0992, 0.0992, 0.0000], [0.3037, 0.3037, 0.0000], [0.6963, 0.6963, 0.0000], [0.9008, 0.9008, 0.0000], [0.5000, 0.5000, 0.0000]]}

Least stable structure: x)